Record 1
Below is SrLi2 after structural relaxation, with properties calculated at the GGA-PBE level.

E, eV/atom: -1.75
ΔH_f (0 K), kcal/mol of atoms: 1.99
DOS(E_F), states/eV/atom: 0.71

Cell: 12.4372 4.1401 7.7394 Å, 90.00 95.96 90.00°
Space group Cm (No. 8)
Inequivalent atoms, fractional coordinates:
Sr 0.0000 0.0000 0.0000 [2 per cell]
Sr 0.2487 0.0000 0.6904 [2 per cell]
Li 0.1101 0.5000 0.3648 [2 per cell]
Li 0.2304 0.5000 0.0591 [2 per cell]
Li 0.3217 0.0000 0.2703 [2 per cell]
Li 0.4523 0.5000 0.4902 [2 per cell]

---

Record 2
Below is Sr6Li after structural relaxation, with properties calculated at the GGA-PBE level.

E, eV/atom: -0.74
ΔH_f (0 K), kcal/mol of atoms: 22.50
DOS(E_F), states/eV/atom: 1.33

Cell: 11.3384 11.3384 11.3384 Å, 90.00 90.00 90.00°
Space group Im-3m (No. 229)
Inequivalent atoms, fractional coordinates:
Sr 0.0000 0.2500 0.5000 [12 per cell]
Li 0.0000 0.0000 0.0000 [2 per cell]

---

Record 3
Below is SrLi6 after structural relaxation, with properties calculated at the GGA-PBE level.

Energy above the most stable polymorph in this dataset, meV/atom: 0
E, eV/atom: -1.86
ΔH_f (0 K), kcal/mol of atoms: 0.54
DOS(E_F), states/eV/atom: 0.65

Cell: 9.7240 6.0828 12.0504 Å, 90.00 90.00 90.00°
Space group Pnma (No. 62)
Inequivalent atoms, fractional coordinates:
Sr 0.2436 0.2500 0.0645 [4 per cell]
Li 0.0584 0.7500 0.0935 [4 per cell]
Li 0.0652 0.0039 0.3089 [8 per cell]
Li 0.0975 0.2500 0.5176 [4 per cell]
Li 0.1425 0.7500 0.8581 [4 per cell]
Li 0.1856 0.2500 0.7561 [4 per cell]

---

Record 4
Below is SrLi6 after structural relaxation, with properties calculated at the GGA-PBE level.

Energy above the most stable polymorph in this dataset, meV/atom: 213
E, eV/atom: -1.64
ΔH_f (0 K), kcal/mol of atoms: 5.45
DOS(E_F), states/eV/atom: 0.79

Cell: 7.3210 7.3210 7.3210 Å, 90.00 90.00 90.00°
Space group Im-3m (No. 229)
Inequivalent atoms, fractional coordinates:
Sr 0.0000 0.0000 0.0000 [2 per cell]
Li 0.0000 0.2500 0.5000 [12 per cell]

---

Record 5
Below is Sr5Li3 after structural relaxation, with properties calculated at the GGA-PBE level.

Energy above the most stable polymorph in this dataset, meV/atom: 0
E, eV/atom: -1.75
ΔH_f (0 K), kcal/mol of atoms: 0.49
DOS(E_F), states/eV/atom: 0.99

Cell: 4.2746 4.2746 18.5140 Å, 90.00 90.00 90.00°
Space group P4/mmm (No. 123)
Inequivalent atoms, fractional coordinates:
Sr 0.0000 0.0000 0.0000 [1 per cell]
Sr 0.0000 0.0000 0.2255 [2 per cell]
Sr 0.5000 0.5000 0.3884 [2 per cell]
Li 0.0000 0.0000 0.5000 [1 per cell]
Li 0.5000 0.5000 0.1135 [2 per cell]

---

Record 6
Below is Sr4Li5 after structural relaxation, with properties calculated at the GGA-PBE level.

Energy above the most stable polymorph in this dataset, meV/atom: 12
E, eV/atom: -1.72
ΔH_f (0 K), kcal/mol of atoms: 2.19
DOS(E_F), states/eV/atom: 0.88

Cell: 10.3554 10.3554 7.2539 Å, 90.00 90.00 120.00°
Space group P6_3/mcm (No. 193)
Inequivalent atoms, fractional coordinates:
Sr 0.0000 0.0000 0.0000 [2 per cell]
Sr 0.0000 0.3607 0.2500 [6 per cell]
Li 0.0000 0.3130 0.7500 [6 per cell]
Li 0.3333 0.6667 0.0000 [4 per cell]

---

Record 7
Below is SrLi2 after structural relaxation, with properties calculated at the GGA-PBE level.

E, eV/atom: -1.79
ΔH_f (0 K), kcal/mol of atoms: 0.99
DOS(E_F), states/eV/atom: 0.97

Cell: 3.9988 3.9988 11.9995 Å, 90.00 90.00 90.00°
Space group I4/mmm (No. 139)
Inequivalent atoms, fractional coordinates:
Sr 0.0000 0.0000 0.0000 [2 per cell]
Li 0.0000 0.0000 0.3017 [4 per cell]

---

Record 8
Below is Sr5Li2 after structural relaxation, with properties calculated at the GGA-PBE level.

E, eV/atom: -1.73
ΔH_f (0 K), kcal/mol of atoms: 0.41
DOS(E_F), states/eV/atom: 0.96

Cell: 4.1257 4.1257 36.9240 Å, 90.00 90.00 90.00°
Space group I4/mmm (No. 139)
Inequivalent atoms, fractional coordinates:
Sr 0.0000 0.0000 0.0000 [2 per cell]
Sr 0.0000 0.0000 0.1703 [4 per cell]
Sr 0.0000 0.0000 0.4149 [4 per cell]
Li 0.0000 0.0000 0.2668 [4 per cell]

---

> Which value of E does entry 4 give?

-1.64 eV/atom